[1]
DFT (PBE) results for a relaxed TbTh3N crystal.

Lattice parameters (Å, degrees): 5.0842 5.0842 5.0842 90.00 90.00 90.00
Element x y z (fractional)
Tb 0.0000 0.0000 0.0000
Th 0.0000 0.5000 0.5000
Th 0.5000 0.0000 0.5000
Th 0.5000 0.5000 0.0000
N 0.5000 0.5000 0.5000

Computed properties:
**Uncorrected energy**: -7.65 eV/atom
**Symmetry**: No. 221


[2]
DFT (PBE) results for a relaxed Tb4ThN5 crystal.

Lattice parameters (Å, degrees): 6.1236 6.1236 6.1236 99.59 99.59 131.82
Element x y z (fractional)
Tb 0.0989 0.3032 0.4021
Tb 0.3032 0.9011 0.2044
Tb 0.6968 0.0989 0.7956
Tb 0.9011 0.6968 0.5979
Th 0.5000 0.5000 0.0000
N 0.0000 0.0000 0.0000
N 0.2001 0.5982 0.7983
N 0.4018 0.2001 0.6019
N 0.5982 0.7999 0.3981
N 0.7999 0.4018 0.2017

Computed properties:
**Uncorrected energy**: -8.42 eV/atom
**Symmetry**: No. 87


[3]
DFT (PBE) results for a relaxed Tb3ThN crystal.

Lattice parameters (Å, degrees): 4.9956 4.9956 4.9956 90.00 90.00 90.00
Element x y z (fractional)
Tb 0.0000 0.0000 0.5000
Tb 0.0000 0.5000 0.0000
Tb 0.5000 0.0000 0.0000
Th 0.5000 0.5000 0.5000
N 0.0000 0.0000 0.0000

Computed properties:
**Uncorrected energy**: -6.36 eV/atom
**Symmetry**: No. 221


[4]
DFT (PBE) results for a relaxed Tb5Th3N8 crystal.

Lattice parameters (Å, degrees): 7.1253 7.1253 7.1253 60.11 60.11 60.11
Element x y z (fractional)
Tb 0.0000 0.0000 0.0000
Tb 0.0000 0.5000 0.5000
Tb 0.5000 0.0000 0.5000
Tb 0.5000 0.5000 0.0000
Tb 0.5000 0.5000 0.5000
Th 0.0000 0.0000 0.5000
Th 0.0000 0.5000 0.0000
Th 0.5000 0.0000 0.0000
N 0.2494 0.7500 0.7500
N 0.2500 0.2500 0.7506
N 0.2500 0.7506 0.2500
N 0.2511 0.2511 0.2511
N 0.7489 0.7489 0.7489
N 0.7500 0.2494 0.7500
N 0.7500 0.7500 0.2494
N 0.7506 0.2500 0.2500

Computed properties:
**Uncorrected energy**: -8.64 eV/atom
**Symmetry**: No. 166


[5]
DFT (PBE) results for a relaxed TbTh4N5 crystal.

Lattice parameters (Å, degrees): 6.2866 6.2866 6.2866 99.64 99.64 131.69
Element x y z (fractional)
Tb 0.0000 0.0000 0.0000
Th 0.2010 0.3993 0.6003
Th 0.3993 0.7990 0.1983
Th 0.6007 0.2010 0.8017
Th 0.7990 0.6007 0.3997
N 0.1004 0.7034 0.8038
N 0.2966 0.1004 0.3970
N 0.5000 0.5000 0.0000
N 0.7034 0.8996 0.6030
N 0.8996 0.2966 0.1962

Computed properties:
**Uncorrected energy**: -9.17 eV/atom
**Symmetry**: No. 87


[6]
DFT (PBE) results for a relaxed Tb2ThTlN crystal.

Lattice parameters (Å, degrees): 4.9237 4.9237 4.8980 90.00 90.00 90.00
Element x y z (fractional)
Tb 0.0000 0.5000 0.0000
Tb 0.5000 0.0000 0.0000
Th 0.0000 0.0000 0.5000
Tl 0.5000 0.5000 0.5000
N 0.0000 0.0000 0.0000

Computed properties:
**Uncorrected energy**: -6.30 eV/atom
**Symmetry**: No. 123


Number 1: E_form (uncorrected) -611 meV per atom, mass density 10.98 g cm⁻³. Number 2: E_form (uncorrected) -1665 meV per atom, mass density 9.97 g cm⁻³. Number 3: E_form (uncorrected) -432 meV per atom, mass density 9.63 g cm⁻³. Number 4: E_form (uncorrected) -1637 meV per atom, mass density 10.38 g cm⁻³. Number 5: E_form (uncorrected) -1581 meV per atom, mass density 11.35 g cm⁻³. Number 6: E_form (uncorrected) -822 meV per atom, mass density 10.74 g cm⁻³.